DFT (GGA-PBE) results for crystalline YCo2Ag2 at its relaxed geometry.

```
data_YCo2Ag2
_cell_length_a 3.992
_cell_length_b 3.992
_cell_length_c 11.290
_cell_angle_alpha 90.00
_cell_angle_beta 90.00
_cell_angle_gamma 90.00
_symmetry_space_group_name_H-M 'I 4/m m m'
_symmetry_Int_Tables_number 139
_symmetry_space_group_name_Hall '-I 4 2'
loop_
_atom_site_label
_atom_site_type_symbol
_atom_site_fract_x
_atom_site_fract_y
_atom_site_fract_z
Y1 Y 0.000 0.000 0.000
Co1 Co 0.000 0.000 0.406
Ag1 Ag 0.000 0.500 0.250
```

Output
N(E_F) in states/eV/atom: 0.88
Electronic total energy in eV per atom: -5.191
ΔE to the lowest computed polymorph in meV/atom: 0
V in Å³/atom: 17.99
ΔE_f in kJ/mol of formula units: 41